Record 1
Below is a geometry-optimized LaY2Er3 structure, with properties calculated at the PBE level.

Properties
energy of formation: 0.1174 eV/atom
M_tot: 0.0000 μB/atom

Geometry as POSCAR:
```
LaY2Er3
1.0
2.887 -5.879 0.000
2.887 5.879 0.000
0.000 0.000 11.509
La Y Er
2 4 6
direct
0.174 0.826 0.750
0.826 0.174 0.250
0.000 0.000 0.000
0.000 0.000 0.500
0.485 0.515 0.750
0.515 0.485 0.250
0.153 0.847 0.250
0.332 0.668 0.016
0.332 0.668 0.484
0.668 0.332 0.516
0.668 0.332 0.984
0.847 0.153 0.750
```

---

Record 2
Below is a geometry-optimized LaYEr structure, with properties calculated at the PBE level.

Properties
energy of formation: 0.0739 eV/atom
M_tot: 0.0003 μB/atom

Geometry as POSCAR:
```
LaYEr
1.0
5.705 0.000 0.000
-2.852 4.940 0.000
0.000 0.000 3.518
La Y Er
1 1 1
direct
0.000 0.000 0.000
0.667 0.333 0.500
0.333 0.667 0.000
```

---

Record 3
Below is a geometry-optimized La4YEr5 structure, with properties calculated at the PBE level.

Properties
energy of formation: 0.1985 eV/atom
M_tot: 0.0000 μB/atom

Geometry as POSCAR:
```
La4YEr5
1.0
8.564 -1.765 0.000
8.564 1.765 0.000
-0.059 0.000 11.473
La Y Er
4 1 5
direct
0.034 0.034 0.248
0.337 0.337 0.250
0.663 0.663 0.750
0.966 0.966 0.752
0.500 0.500 0.500
0.172 0.172 0.046
0.173 0.173 0.452
0.500 0.500 0.000
0.827 0.827 0.548
0.828 0.828 0.954
```

---

Record 4
Below is a geometry-optimized La7YEr4 structure, with properties calculated at the PBE level.

Properties
energy of formation: 0.0168 eV/atom
M_tot: 0.0000 μB/atom

Geometry as POSCAR:
```
La7YEr4
1.0
6.402 0.000 0.000
-0.009 7.349 0.000
-2.113 -0.006 8.812
La Y Er
7 1 4
direct
0.000 0.000 0.000
0.222 0.499 0.665
0.282 0.751 0.336
0.500 0.246 0.004
0.500 0.754 0.996
0.718 0.249 0.664
0.778 0.501 0.335
0.000 0.500 0.000
0.219 0.999 0.663
0.276 0.245 0.332
0.724 0.755 0.668
0.781 0.001 0.337
```

---

Record 5
Below is a geometry-optimized La5Y3Er structure, with properties calculated at the PBE level.

Properties
energy of formation: 0.3123 eV/atom
M_tot: 0.0007 μB/atom

Geometry as POSCAR:
```
La5Y3Er
1.0
-4.776 4.776 7.088
4.776 -4.776 7.088
4.776 4.776 -7.088
La Y Er
10 6 2
direct
0.000 0.000 0.000
0.064 0.564 0.901
0.162 0.064 0.500
0.338 0.838 0.901
0.436 0.338 0.500
0.500 0.500 0.000
0.564 0.662 0.500
0.662 0.162 0.099
0.838 0.936 0.500
0.936 0.436 0.099
0.109 0.391 0.500
0.250 0.250 0.000
0.391 0.891 0.283
0.609 0.109 0.717
0.750 0.750 0.000
0.891 0.609 0.500
0.250 0.750 0.500
0.750 0.250 0.500
```

---

Record 6
Below is a geometry-optimized La3Y5Er4 structure, with properties calculated at the PBE level.

Properties
energy of formation: 0.0287 eV/atom
M_tot: 0.0000 μB/atom

Geometry as POSCAR:
```
La3Y5Er4
1.0
6.230 0.000 0.000
0.020 7.178 0.000
0.034 0.015 8.816
La Y Er
3 5 4
direct
0.000 0.000 0.000
0.164 0.254 0.334
0.836 0.746 0.666
0.000 0.500 0.000
0.335 0.000 0.666
0.498 0.748 0.000
0.502 0.252 0.000
0.665 0.000 0.334
0.170 0.748 0.333
0.335 0.499 0.666
0.665 0.501 0.334
0.830 0.252 0.667
```

---

Record 7
Below is a geometry-optimized La6Y16Er7 structure, with properties calculated at the PBE level.

Properties
energy of formation: 0.2389 eV/atom
M_tot: 0.1991 μB/atom

Geometry as POSCAR:
```
La6Y16Er7
1.0
0.000 7.973 7.973
7.973 0.000 7.973
7.973 7.973 0.000
La Y Er
6 16 7
direct
0.219 0.219 0.781
0.219 0.781 0.219
0.219 0.781 0.781
0.781 0.219 0.219
0.781 0.219 0.781
0.781 0.781 0.219
0.130 0.623 0.623
0.155 0.155 0.155
0.155 0.155 0.536
0.155 0.536 0.155
0.377 0.377 0.377
0.377 0.377 0.870
0.377 0.870 0.377
0.464 0.845 0.845
0.536 0.155 0.155
0.623 0.130 0.623
0.623 0.623 0.130
0.623 0.623 0.623
0.845 0.464 0.845
0.845 0.845 0.464
0.845 0.845 0.845
0.870 0.377 0.377
0.000 0.000 0.500
0.000 0.500 0.000
0.000 0.500 0.500
0.500 0.000 0.000
0.500 0.000 0.500
0.500 0.500 0.000
0.500 0.500 0.500
```

---

Record 8
Below is a geometry-optimized LaY5Er7 structure, with properties calculated at the PBE level.

Properties
energy of formation: 0.2659 eV/atom
M_tot: 0.0025 μB/atom

Geometry as POSCAR:
```
LaY5Er7
1.0
-3.360 5.546 5.779
3.360 -5.546 5.779
3.360 5.546 -5.779
La Y Er
1 5 7
direct
0.000 0.000 0.000
0.023 0.030 0.463
0.023 0.560 0.993
0.301 0.801 0.500
0.567 0.030 0.007
0.567 0.560 0.537
0.217 0.547 0.670
0.297 0.297 0.000
0.378 0.047 0.330
0.602 0.602 0.000
0.717 0.047 0.670
0.793 0.293 0.500
0.877 0.547 0.330
```